ScTlTc2: optimized geometry, PBEsol.

Cell and atoms, written as POSCAR:
```
ScTlTc2
1.0
-0.6094 2.1969 1.9718
-2.9391 -2.2311 1.5775
3.8205 -2.6737 3.3366
Tc Sc Tl
2 1 1
Cartesian
-0.9451 -0.7055 2.3458
0.0505 0.0269 0.1322
1.1696 -2.0074 4.4446
1.2979 0.8381 3.6036
```

Values from the calculation:
- electronic total energy (eV per atom) = -7.81
- E_form (eV/f.u.) = 0.52
- ΔE to the lowest computed polymorph (kcal/mol of atoms) = 0.000
- size of the total moment (Bohr magnetons per cell) = 0.00

ScTl2Tc: optimized geometry, PBEsol.

Cell and atoms, written as POSCAR:
```
ScTl2Tc
1.0
4.3090 0.0000 0.0000
0.0000 4.3090 0.0000
-2.1545 -2.1545 4.1207
Sc Tl Tc
1 2 1
Cartesian
2.1545 2.1545 0.0000
2.1545 0.0000 2.0603
0.0000 2.1545 2.0603
0.0000 0.0000 0.0000
```

Values from the calculation:
- electronic total energy (eV per atom) = -5.64
- E_form (eV/f.u.) = 0.56
- ΔE to the lowest computed polymorph (kcal/mol of atoms) = 0.000
- size of the total moment (Bohr magnetons per cell) = 0.03

ScTl2Tc: optimized geometry, PBEsol.

Cell and atoms, written as POSCAR:
```
ScTl2Tc
1.0
-1.4366 1.5401 3.0580
-4.0627 0.6756 -2.2488
1.3213 -5.1518 0.9610
Tl Sc Tc
2 1 1
Cartesian
-0.7366 -2.0855 0.7043
-3.4414 -0.8507 1.0660
-0.7183 0.7700 1.5290
-2.0314 0.3378 -1.1244
```

Values from the calculation:
- electronic total energy (eV per atom) = -5.61
- E_form (eV/f.u.) = 0.68
- ΔE to the lowest computed polymorph (kcal/mol of atoms) = 0.709
- size of the total moment (Bohr magnetons per cell) = 0.00

ScTcW2: optimized geometry, PBEsol.

Cell and atoms, written as POSCAR:
```
ScTcW2
1.0
-1.2853 -0.8896 -2.7100
1.2143 -4.1730 0.7939
-3.9727 1.7739 3.1077
Tc Sc W
1 1 2
Cartesian
-0.6427 -0.4448 -1.3550
0.6071 -2.0865 0.3970
-2.1405 -2.9290 0.1709
-1.9033 -0.3596 1.0207
```

Values from the calculation:
- electronic total energy (eV per atom) = -11.43
- E_form (eV/f.u.) = -0.25
- ΔE to the lowest computed polymorph (kcal/mol of atoms) = 0.000
- size of the total moment (Bohr magnetons per cell) = 0.00

ScTcW: optimized geometry, PBEsol.

Cell and atoms, written as POSCAR:
```
ScTcW
1.0
3.1235 0.0000 0.0000
0.0000 3.1235 0.0000
-1.5617 -1.5617 5.0302
Sc Tc W
1 1 1
Cartesian
0.0000 0.0000 0.0345
1.5617 1.5617 1.8075
0.0000 0.0000 3.1883
```

Values from the calculation:
- electronic total energy (eV per atom) = -10.67
- E_form (eV/f.u.) = -0.32
- ΔE to the lowest computed polymorph (kcal/mol of atoms) = 0.000
- size of the total moment (Bohr magnetons per cell) = 0.00

ScTcW2: optimized geometry, PBEsol.

Cell and atoms, written as POSCAR:
```
ScTcW2
1.0
-0.3401 -0.5161 3.6853
1.3210 -3.4764 -0.3650
4.3204 1.5766 0.6195
W Tc Sc
2 1 1
Cartesian
0.6605 -1.7382 -0.1825
-0.1701 -0.2581 1.8427
2.1602 0.7883 0.3098
2.6506 -1.2080 1.9699
```

Values from the calculation:
- electronic total energy (eV per atom) = -11.08
- E_form (eV/f.u.) = 1.17
- ΔE to the lowest computed polymorph (kcal/mol of atoms) = 8.203
- size of the total moment (Bohr magnetons per cell) = 0.00